First-principles (GGA-PBE) data for crystalline Ac2Cu2Hg3 at its relaxed geometry, as listed in Alexandria via LeMat-Bulk.

The space group is Cmmm (No. 65) and the conventional cell measures 4.418, 20.724 and 4.128 Å, with angles of 90.00, 90.00 and 90.00 degrees. The inequivalent atoms are Ac at (0.000, 0.165, 0.000), Cu at (0.000, 0.280, 0.500), Hg at (0.000, 0.000, 0.000) and Hg at (0.000, 0.425, 0.500).

The total magnetization is 0.00 μB per formula unit. Its calculated formation energy is -0.249 eV per atom. Its total energy is -2.72 eV/atom.

First-principles (GGA-PBE) data for crystalline AcCu5Hg at its relaxed geometry, as listed in Alexandria via LeMat-Bulk.

The space group is Pnma (No. 62) and the conventional cell measures 8.608, 5.266 and 10.676 Å, with angles of 90.00, 90.00 and 90.00 degrees. The inequivalent atoms are Ac at (0.240, 0.250, 0.063), Cu at (0.056, 0.750, 0.118), Cu at (0.065, 0.502, 0.316), Cu at (0.081, 0.250, 0.515), Cu at (0.184, 0.250, 0.744) and Hg at (0.141, 0.750, 0.866).

The total magnetization is 0.00 μB per formula unit. Its calculated formation energy is -0.145 eV per atom. Its total energy is -3.70 eV/atom.

Q: Which of these has the lowest calculated formation energy?
A: Ac2Cu2Hg3

Q: Look up the calculated formation energy of the first one.
A: -0.249 eV per atom